(1)
TcSbOsRh2 | PBE-GGA | optimized geometry

The structure belongs to space group P4/mmm (No. 123); the cell edges are 4.700, 4.700 and 4.861 Å and the angles 90.00°, 90.00° and 90.00°. Symmetry generates all atoms from Tc at (0.000, 0.000, 0.000), Sb at (0.000, 0.000, 0.500), Os at (0.500, 0.500, 0.000) and Rh at (0.000, 0.500, 0.500).

The value obtained for the calculated volume is 107.4 Å³/cell. As for the electronic total energy: -0.4499 Ry per atom. The calculation puts the energy relative to the elements, uncorrected at 1963 meV per atom. As for the magnetization: 4.8 μB/f.u.

***

(2)
NaGaCuNi | PBE-GGA | optimized geometry

The structure belongs to space group Pmm2 (No. 25); the cell edges are 2.668, 3.442 and 6.938 Å and the angles 90.00°, 90.00° and 90.00°. Symmetry generates all atoms from Na at (0.000, 0.000, 0.000), Ga at (0.500, 0.500, 0.338), Cu at (0.500, 0.500, 0.705) and Ni at (0.000, 0.000, 0.519).

The value obtained for the calculated volume is 63.7 Å³/cell. As for the electronic total energy: -0.2597 Ry per atom. The calculation puts the formation energy from the elements at 0.022 eV per atom. The calculation puts the energy above the lowest structure with this stoichiometry at 61 meV per atom. As for the magnetization: 0.0 μB/f.u.

***

(3)
Al2ZnPt3 | PBE-GGA | optimized geometry

The structure belongs to space group P4/mmm (No. 123); the cell edges are 2.893, 2.893 and 10.534 Å and the angles 90.00°, 90.00° and 90.00°. Symmetry generates all atoms from Al at (0.000, 0.000, 0.166), Zn at (0.000, 0.000, 0.500), Pt at (0.500, 0.500, 0.000) and Pt at (0.500, 0.500, 0.323).

The value obtained for the calculated volume is 88.2 Å³/cell. As for the electronic total energy: -0.3915 Ry per atom. The calculation puts the formation energy from the elements at -0.847 eV per atom. As for the magnetization: 0.0 μB/f.u.

***

(4)
LuAgPb2 | PBE-GGA | optimized geometry

The structure belongs to space group Fm-3m (No. 225); the cell edges are 7.453, 7.453 and 7.453 Å and the angles 90.00°, 90.00° and 90.00°. Symmetry generates all atoms from Lu at (0.000, 0.000, 0.000), Ag at (0.000, 0.000, 0.500) and Pb at (0.250, 0.250, 0.250).

The value obtained for the calculated volume is 413.9 Å³/cell. As for the electronic total energy: -0.2756 Ry per atom. The calculation puts the formation energy from the elements at -0.052 eV per atom. The calculation puts the energy above the lowest structure with this stoichiometry at 155 meV per atom. As for the magnetization: 0.0 μB/f.u.

***

(5)
LiAcCd2Au4 | PBE-GGA | optimized geometry

The structure belongs to space group R-3m (No. 166, hexagonal axes); the cell edges are 4.7929, 4.7929 and 26.5089 Å and the angles 90.00°, 90.00° and 120.00°. Symmetry generates all atoms from Li at (0.0000, 0.0000, 0.0000), Ac at (0.0000, 0.0000, 0.5000), Cd at (0.0000, 0.0000, 0.2623), Au at (0.0000, 0.0000, 0.1014) and Au at (0.0000, 0.0000, 0.3720).

The value obtained for the calculated volume is 527.4 Å³/cell. As for the electronic total energy: -0.2301 Ry per atom. The calculation puts the formation energy from the elements at -0.511 eV per atom. As for the magnetization: 0.0 μB/f.u.

***

(6)
AlZn2Rh | PBE-GGA | optimized geometry

The structure belongs to space group Cmmm (No. 65); the cell edges are 2.878, 4.765 and 8.893 Å and the angles 90.00°, 90.00° and 90.00°. Symmetry generates all atoms from Al at (0.000, 0.000, 0.000), Zn at (0.000, 0.500, 0.263) and Rh at (0.000, 0.000, 0.500).

The value obtained for the calculated volume is 121.9 Å³/cell. As for the electronic total energy: -0.2541 Ry per atom. The calculation puts the formation energy from the elements at -0.046 eV per atom. As for the magnetization: 0.0 μB/f.u.

***

(7)
CaLa2InOs | PBE-GGA | optimized geometry

The structure belongs to space group P4/mmm (No. 123); the cell edges are 5.558, 5.558 and 5.404 Å and the angles 90.00°, 90.00° and 90.00°. Symmetry generates all atoms from Ca at (0.000, 0.000, 0.000), La at (0.000, 0.500, 0.500), In at (0.500, 0.500, 0.000) and Os at (0.500, 0.500, 0.500).

The value obtained for the calculated volume is 166.9 Å³/cell. As for the electronic total energy: -0.3882 Ry per atom. The calculation puts the formation energy from the elements at -0.117 eV per atom. As for the magnetization: 0.0 μB/f.u.

***

(8)
Ac2Ga6CuTc | PBE-GGA | optimized geometry

The structure belongs to space group Immm (No. 71); the cell edges are 6.793, 6.839 and 9.645 Å and the angles 90.00°, 90.00° and 90.00°. Symmetry generates all atoms from Ac at (0.000, 0.000, 0.250), Ga at (0.000, 0.500, 0.243), Ga at (0.243, 0.256, 0.000), Cu at (0.000, 0.500, 0.000) and Tc at (0.000, 0.500, 0.500).

The value obtained for the calculated volume is 448.1 Å³/cell. As for the electronic total energy: -0.3192 Ry per atom. The calculation puts the formation energy from the elements at -0.259 eV per atom. As for the magnetization: 0.0 μB/f.u.

***

(9)
CaMnCr2 | PBE-GGA | optimized geometry

The structure belongs to space group Fm-3m (No. 225); the cell edges are 6.089, 6.089 and 6.089 Å and the angles 90.00°, 90.00° and 90.00°. Symmetry generates all atoms from Ca at (0.000, 0.000, 0.000), Mn at (0.000, 0.000, 0.500) and Cr at (0.250, 0.250, 0.250).

The value obtained for the calculated volume is 225.8 Å³/cell. As for the electronic total energy: -0.4844 Ry per atom. The calculation puts the formation energy from the elements at 1.014 eV per atom. The calculation puts the energy above the lowest structure with this stoichiometry at 574 meV per atom. As for the magnetization: 0.0 μB/f.u.

***

(10)
BaGaCo2Mo | PBE-GGA | optimized geometry

The structure belongs to space group P4/mmm (No. 123); the cell edges are 4.675, 4.675 and 5.056 Å and the angles 90.00°, 90.00° and 90.00°. Symmetry generates all atoms from Ba at (0.000, 0.000, 0.000), Ga at (0.500, 0.500, 0.000), Co at (0.000, 0.500, 0.500) and Mo at (0.500, 0.500, 0.500).

The value obtained for the calculated volume is 110.5 Å³/cell. As for the electronic total energy: -0.3959 Ry per atom. The calculation puts the formation energy from the elements at 0.612 eV per atom. As for the magnetization: 1.4 μB/f.u.

***

(11)
Yb3Pd | PBE-GGA | optimized geometry

The structure belongs to space group Pnma (No. 62); the cell edges are 7.634, 9.452 and 6.388 Å and the angles 90.00°, 90.00° and 90.00°. Symmetry generates all atoms from Yb at (0.034, 0.250, 0.132), Yb at (0.176, 0.061, 0.655) and Pd at (0.120, 0.750, 0.444).

The value obtained for the calculated volume is 460.9 Å³/cell. As for the electronic total energy: -0.2210 Ry per atom. The calculation puts the formation energy from the elements at -0.564 eV per atom. As for the magnetization: 0.6 μB/f.u.

***

(12)
SrB4C4 | PBE-GGA | optimized geometry

The structure belongs to space group I4/m (No. 87); the cell edges are 7.297, 7.297 and 2.836 Å and the angles 90.00°, 90.00° and 90.00°. Symmetry generates all atoms from Sr at (0.000, 0.000, 0.000), B at (0.130, 0.320, 0.500) and C at (0.099, 0.702, 0.500).

The value obtained for the calculated volume is 151.0 Å³/cell. As for the electronic total energy: -0.5096 Ry per atom. The calculation puts the formation energy from the elements at 0.321 eV per atom. As for the magnetization: 0.0 μB/f.u.